# V2OsAu

A relaxed structure of V2OsAu (GGA-PBE, the Alexandria database).

Properties
Calculated formation energy, eV per atom: 0.446
Spin magnetization, μB/f.u.: 0.00
Volume, Å³/f.u.: 65.15
DFT total energy, eV per atom: -7.740

CIF file:
```
data_V2OsAu
_cell_length_a 6.948
_cell_length_b 6.948
_cell_length_c 5.399
_cell_angle_alpha 90.00
_cell_angle_beta 90.00
_cell_angle_gamma 90.00
_space_group_name_H-M_alt 'I -4 2 d'
_space_group_IT_number 122
_space_group_name_Hall 'I -4 2bw'
loop_
_atom_site_label
_atom_site_type_symbol
_atom_site_fract_x
_atom_site_fract_y
_atom_site_fract_z
_atom_site_occupancy
V1 V 0.218 0.250 0.125 1
Os1 Os 0.000 0.000 0.000 1
Au1 Au 0.000 0.000 0.500 1
```